[1]
A relaxed structure of ZnBiPO. Source: the Open Quantum Materials Database, functional GGA-PBE.

```
ZnBiPO
1.0
-2.0014 -3.6931 4.3423
6.4707 -2.1764 1.1314
0.9222 5.3113 4.9424
P Bi O Zn
4 4 4 4
Cartesian
1.4386 2.5252 3.8697
1.2140 -1.0791 4.9035
3.3924 -0.0841 8.8390
4.7380 -2.4784 3.2200
3.6419 1.6345 6.7974
-0.0096 1.2098 5.7017
4.2101 -4.7107 5.8655
2.9406 0.7500 2.4676
3.5239 -2.7124 6.5492
1.1372 1.8647 7.4869
1.4606 -0.5197 1.4052
4.6612 0.2510 5.3909
3.5666 -1.3766 4.9703
1.0714 0.3960 8.9422
5.9208 1.3182 4.1444
0.2241 -1.4540 2.7753
```

## Properties
Excess energy over the best structure of this formula in the dataset ... 2 meV/atom

***

[2]
A relaxed structure of ZnBiPO. Source: the Open Quantum Materials Database, functional GGA-PBE.

```
ZnBiPO
1.0
2.7936 -2.7955 0.0000
2.7936 2.7955 0.0000
0.0000 0.0000 8.8627
P Zn Bi O
2 2 2 2
Cartesian
2.7936 1.3978 2.9392
2.7936 -1.3978 5.9235
1.3968 0.0000 4.4314
4.1904 0.0000 4.4314
2.7936 1.3978 7.6035
2.7936 -1.3978 1.2592
4.1904 0.0000 0.0000
1.3968 0.0000 0.0000
```

## Properties
Excess energy over the best structure of this formula in the dataset ... 8 meV/atom

***

[3]
A relaxed structure of ZnBiPO. Source: the Open Quantum Materials Database, functional GGA-PBE.

```
ZnBiPO
1.0
5.9409 0.0000 0.0000
0.0000 5.9926 0.0000
0.0000 0.0000 8.6824
Bi O Zn P
4 4 4 4
Cartesian
1.5312 5.8095 7.1897
1.4392 2.8132 1.4927
4.4096 3.1795 2.8485
4.5017 0.1832 5.8339
3.1330 4.9037 2.2652
2.8079 4.0852 6.6064
5.7783 1.9074 6.4171
0.1626 1.0889 2.0760
1.3879 2.9545 5.6304
4.3583 3.0381 7.3932
1.5825 5.9508 3.0520
4.5530 0.0418 1.2892
0.1820 4.5894 4.3608
5.7589 4.3996 0.0196
3.1524 1.4033 8.6628
2.7885 1.5931 4.3216
```

## Properties
Excess energy over the best structure of this formula in the dataset ... 110 meV/atom

***

[4]
A relaxed structure of ZnBiPO. Source: the Open Quantum Materials Database, functional GGA-PBE.

```
ZnBiPO
1.0
3.6380 0.0000 0.0000
0.0000 6.6583 0.0000
0.0000 0.0000 6.5397
P Zn Bi O
2 2 2 2
Cartesian
1.8190 5.3866 2.2761
1.8190 1.2717 5.5460
1.8190 5.7175 6.3967
1.8190 0.9408 3.1268
0.0000 2.6289 0.3510
0.0000 4.0294 3.6208
0.0000 4.9689 5.7167
0.0000 1.6895 2.4468
```

## Properties
Excess energy over the best structure of this formula in the dataset ... 86 meV/atom

***

[5]
A relaxed structure of ZnBiPO. Source: the Open Quantum Materials Database, functional GGA-PBE.

```
ZnBiPO
1.0
-1.5557 -3.1527 -2.7055
3.3393 0.7698 -2.8172
4.8790 -5.9705 4.1518
O Bi Zn P
2 2 2 2
Cartesian
0.0000 0.0000 0.0000
0.8918 -1.1915 -2.7613
2.4395 -2.9853 2.0759
3.3313 -4.1767 -0.6854
6.4889 -5.5126 2.6924
-0.7182 -1.6494 -1.3019
0.6854 -3.3670 -0.1076
5.0854 -3.7950 1.4981
```

## Properties
Excess energy over the best structure of this formula in the dataset ... 550 meV/atom

***

[6]
A relaxed structure of ZnBiPO. Source: the Open Quantum Materials Database, functional GGA-PBE.

```
ZnBiPO
1.0
-4.0393 7.3954 6.4410
-0.5023 6.7525 8.1637
-0.7930 9.2722 5.0883
P O Zn Bi
2 2 2 2
Cartesian
-4.7270 20.7522 17.4497
-0.6077 2.6679 2.2433
-3.6987 16.2380 13.6539
-1.6359 7.1821 6.0391
-1.0443 4.5848 3.8552
-4.2903 18.8353 15.8378
-2.0393 8.9528 7.5281
-3.2954 14.4673 12.1649
```

## Properties
Excess energy over the best structure of this formula in the dataset ... 0 meV/atom

***

[7]
A relaxed structure of ZnBiPO. Source: the Open Quantum Materials Database, functional GGA-PBE.

```
ZnBiPO
1.0
-7.1419 0.9799 5.0457
2.0414 -15.5227 5.9041
2.5054 1.5629 3.2427
P Zn O Bi
8 8 8 8
Cartesian
-3.4880 -1.4153 3.3770
1.5942 -13.5457 5.2968
-2.6161 -5.3468 4.5982
-6.6947 -0.9970 5.6530
-5.6969 -8.7335 8.6108
-2.4843 -9.1960 6.3516
-1.6125 -13.1275 7.5728
0.5964 -5.8093 2.3391
-3.5130 -11.9058 11.4182
-4.5112 -4.1382 8.4458
-2.1416 -4.4726 6.7762
1.9162 -8.8417 5.7467
-1.1459 -12.2212 9.7414
0.9179 -1.0741 2.7743
-1.4492 -0.7587 4.4512
-0.4534 -8.5073 7.4164
0.9090 -10.0316 7.0984
-3.1501 -5.6625 8.1288
-3.5041 -2.9483 7.0942
-0.4463 0.4413 3.0980
-0.0863 -2.2738 4.1284
-2.1487 -13.4212 11.0946
0.5550 -7.3173 6.0637
-2.5088 -10.7061 10.0642
-4.3175 -7.1675 6.7903
-3.8675 -10.7617 8.1749
-4.8413 -3.0068 5.1897
-0.2592 -11.5359 5.7601
-1.2330 -3.7810 2.7749
-0.7829 -7.3753 4.1595
0.2370 -15.1365 7.1121
-5.3374 0.5937 3.8377
```

## Properties
Excess energy over the best structure of this formula in the dataset ... 15 meV/atom

***

[8]
A relaxed structure of ZnBiPO. Source: the Open Quantum Materials Database, functional GGA-PBE.

```
ZnBiPO
1.0
-2.3287 -12.2920 -0.2580
1.2880 -12.4034 -1.0387
0.1584 -12.2633 2.4836
Bi O P Zn
2 2 2 2
Cartesian
-0.1824 -7.6409 0.2454
-0.6998 -29.3178 0.9415
-0.2699 -11.3072 0.3631
-0.6123 -25.6515 0.8237
-0.0751 -3.1447 0.1010
-0.8072 -33.8140 1.0858
-0.5636 -23.6102 0.7582
-0.3186 -13.3484 0.4286
```

## Properties
Excess energy over the best structure of this formula in the dataset ... 194 meV/atom

***

[9]
A relaxed structure of ZnBiPO. Source: the Open Quantum Materials Database, functional GGA-PBE.

```
ZnBiPO
1.0
-2.8175 7.7514 4.5375
-10.9551 -9.9944 10.2711
2.7132 -0.4509 2.4550
Zn Bi P O
8 8 8 8
Cartesian
-6.5621 -3.3021 9.4136
-10.8305 -2.0353 14.3634
-5.1559 -5.3300 7.4872
-0.2290 -0.6586 2.9002
-5.9035 2.6361 9.7765
-4.4974 0.6082 7.8501
-0.6303 2.2860 3.8845
-10.4292 -4.9799 13.3791
-8.6335 -0.2728 9.4911
-3.2312 4.9314 4.4767
-10.5414 -7.1743 10.3319
-5.7369 4.8355 7.2281
-9.9436 -3.6580 10.3171
-8.0357 -7.0784 7.5805
-5.1391 -1.9702 5.3175
-3.8290 1.4151 4.4915
-6.1023 0.3289 9.5724
-1.8473 -0.2913 4.7562
0.7291 1.4003 2.2196
-9.2121 -2.4026 12.5075
-3.8856 3.0101 7.6151
-11.7885 -4.0942 15.0440
-7.1738 -5.7040 9.6485
-4.9571 -3.0228 7.6912
-11.3259 -5.1717 11.5667
-8.3645 -2.5028 8.7842
-4.4396 -4.0503 4.1624
-12.2765 -0.9108 13.3999
-5.4081 0.2599 6.0244
-1.4961 -1.3322 1.4087
-2.4467 2.9288 3.2419
-6.5155 -5.9442 6.1087
```

## Properties
Excess energy over the best structure of this formula in the dataset ... 91 meV/atom

***

[10]
A relaxed structure of PaBiO4. Source: the Open Quantum Materials Database, functional GGA-PBE.

```
PaBiO4
1.0
3.6610 -3.7010 0.0000
3.6610 3.7010 0.0000
0.0000 0.0000 3.6282
O Bi Pa
4 1 1
Cartesian
3.6610 1.3398 0.0000
5.8005 0.0000 1.8141
1.5215 0.0000 1.8141
3.6610 -1.3398 0.0000
0.0000 0.0000 0.0000
3.6610 0.0000 1.8141
```

## Properties
Uncorrected energy ... -46.60 eV/cell

***

[11]
A relaxed structure of SmBiPb2O6. Source: the Open Quantum Materials Database, functional GGA-PBE.

```
SmBiPb2O6
1.0
5.0556 -3.3799 -0.2636
-0.1978 -5.8946 1.5059
0.5903 -4.2626 -4.3052
O Pb Sm Bi
6 2 1 1
Cartesian
1.5155 -8.5250 -2.1887
3.9327 -5.0120 -0.8742
4.2387 -7.2215 -3.1059
1.6180 -5.4695 -2.9692
1.2095 -6.3155 0.0430
3.8302 -8.0675 -0.0936
1.3620 -3.3843 -0.7657
4.0861 -10.1528 -2.2972
2.7241 -6.7685 -1.5314
0.0000 0.0000 0.0000
```

## Properties
Excess energy over the best structure of this formula in the dataset ... 0 meV/atom

***

[12]
A relaxed structure of SmBiPb2O6. Source: the Open Quantum Materials Database, functional GGA-PBE.

```
SmBiPb2O6
1.0
-2.4628 -1.6407 4.3950
5.3392 -0.3353 1.2283
-0.5987 5.6276 1.6010
O Bi Pb Sm
6 1 2 1
Cartesian
0.7067 0.9196 2.1285
3.2647 -0.3411 2.0410
0.1465 3.6046 2.6813
1.5710 2.7321 5.0957
2.1311 0.0470 4.5429
-0.9871 3.9928 5.1832
1.4382 -0.9880 2.8116
2.7485 1.8411 2.9323
-0.4708 1.8106 4.2920
0.0000 0.0000 0.0000
```

## Properties
Excess energy over the best structure of this formula in the dataset ... 50 meV/atom

***

[13]
A relaxed structure of TaBiPbO5. Source: the Open Quantum Materials Database, functional GGA-PBE.

```
TaBiPbO5
1.0
-4.6316 1.1495 5.1531
-6.9042 1.2682 -0.2256
1.3816 -7.0838 -0.7401
Pb O Bi Ta
2 10 2 2
Cartesian
-6.7456 -2.9598 2.7849
-3.4086 -1.7062 1.4026
-5.6993 -2.3005 0.6211
-8.8932 0.9050 3.7776
-4.4549 -2.3655 3.5664
-1.2610 -5.5711 0.4099
-3.6537 -4.0753 -0.2134
-7.6955 -0.5283 1.5726
-6.5005 -0.5907 4.4009
-2.4587 -4.1377 2.6149
-5.1029 -4.8293 2.0496
-5.0513 0.1633 2.1379
-11.1153 0.5893 4.7095
0.9611 -5.2554 -0.5220
-2.9350 -5.1793 1.1258
-7.2192 0.5133 3.0616
```

## Properties
Uncorrected energy ... -118.97 eV/cell

***

[14]
A relaxed structure of TaBiPb2O6. Source: the Open Quantum Materials Database, functional GGA-PBE.

```
TaBiPb2O6
1.0
0.5907 4.4357 3.8521
-4.8129 2.5796 2.2460
1.4425 -5.6619 1.6899
Pb O Bi Ta
2 6 1 1
Cartesian
-2.7770 3.7050 5.0615
-0.0027 -2.3516 2.7266
0.3890 -0.2296 4.1765
-2.1832 -1.1132 3.4120
-1.8718 0.4186 5.8138
-3.1687 1.5830 3.6116
-0.9079 0.9348 1.9743
-0.5965 2.4666 4.3761
0.0000 0.0000 0.0000
-1.3899 0.6767 3.8940
```

## Properties
Excess energy over the best structure of this formula in the dataset ... 3 meV/atom

***

[15]
A relaxed structure of TaBiPb2O6. Source: the Open Quantum Materials Database, functional GGA-PBE.

```
TaBiPb2O6
1.0
3.0382 1.7541 4.7171
-3.0382 1.7541 4.7171
0.0000 -3.5082 4.7171
O Ta Pb Bi
6 1 2 1
Cartesian
-0.5281 -1.5273 5.8878
-1.0586 1.2210 5.8878
0.5281 1.5273 8.2634
1.5867 0.3063 5.8878
1.0586 -1.2210 8.2634
-1.5867 -0.3063 8.2634
0.0000 0.0000 7.0756
0.0000 0.0000 3.7309
0.0000 0.0000 10.4202
0.0000 0.0000 0.0000
```

## Properties
Excess energy over the best structure of this formula in the dataset ... 0 meV/atom

***

[16]
A relaxed structure of TbBiPb2O6. Source: the Open Quantum Materials Database, functional GGA-PBE.

```
TbBiPb2O6
1.0
-2.9712 2.9712 4.3075
2.9712 -2.9712 4.3075
2.9712 2.9712 -4.3075
O Pb Tb Bi
6 2 1 1
Cartesian
4.0104 1.1410 0.0000
1.1409 1.9320 0.0000
0.0000 0.0000 2.2111
-1.0392 1.8303 4.3075
0.0000 0.0000 6.4039
1.8303 1.0392 4.3075
0.0000 2.9712 2.1538
2.9712 0.0000 2.1538
0.0000 0.0000 0.0000
0.0000 0.0000 4.3075
```

## Properties
Excess energy over the best structure of this formula in the dataset ... 0 meV/atom

***

[17]
A relaxed structure of TbBiPb2O6. Source: the Open Quantum Materials Database, functional GGA-PBE.

```
TbBiPb2O6
1.0
5.2287 0.0000 0.0000
-1.3637 5.2683 0.0000
-0.2487 -0.6195 5.8230
Tb Pb O Bi
1 2 6 1
Cartesian
0.0000 0.0000 0.0000
3.1473 1.1970 3.1902
0.4690 3.4518 2.6327
0.2551 3.8408 0.2905
1.0804 1.4196 1.5558
3.3612 0.8080 5.5325
0.8788 0.7807 4.2914
2.5358 3.2292 4.2672
2.7374 3.8681 1.5316
1.9325 2.6341 0.0000
```

## Properties
Excess energy over the best structure of this formula in the dataset ... 143 meV/atom

***

[18]
A relaxed structure of TcBiPb2O6. Source: the Open Quantum Materials Database, functional GGA-PBE.

```
TcBiPb2O6
1.0
-2.4170 -5.1393 -1.7614
-3.3369 -3.1629 3.7707
-5.8740 -0.3904 -0.8372
Pb O Tc Bi
2 6 1 1
Cartesian
-2.9070 -2.1731 0.2930
-8.7209 -6.5194 0.8791
-5.7863 -6.1649 1.2404
-7.3756 -3.9817 1.6652
-6.9527 -4.8903 -0.8780
-4.6752 -3.8022 2.0501
-5.8415 -2.5277 -0.0683
-4.2523 -4.7109 -0.4931
-5.8139 -4.3463 0.5861
0.0000 0.0000 0.0000
```

## Properties
Uncorrected energy ... -62.22 eV/cell

***

[19]
A relaxed structure of Bi2Pd2O5. Source: the Open Quantum Materials Database, functional GGA-PBE.

```
Bi2Pd2O5
1.0
9.8354 0.0000 0.0000
0.0000 3.6867 0.0000
0.0000 0.0000 3.6867
Bi O Pd
2 5 2
Cartesian
7.3089 1.8433 1.8433
2.5266 1.8433 1.8433
8.5836 1.8433 0.0000
1.2519 1.8433 0.0000
1.2519 0.0000 1.8433
4.9177 1.8433 1.8433
8.5836 0.0000 1.8433
0.0000 0.0000 0.0000
4.9177 0.0000 0.0000
```

## Properties
Excess energy over the best structure of this formula in the dataset ... 153 meV/atom

***

[20]
A relaxed structure of BiPdO3. Source: the Open Quantum Materials Database, functional GGA-PBE.

```
BiPdO3
1.0
1.7470 -1.4930 5.0913
-3.6808 -1.7834 3.8043
0.0116 -5.9917 1.3032
Bi O Pd
2 6 2
Cartesian
-1.2184 -2.7131 5.7510
-0.7038 -6.5550 4.4478
0.1860 -2.9302 4.0388
-3.0789 -3.7089 5.0454
-2.1082 -6.3380 6.1600
-1.5097 -5.1572 2.9155
1.1567 -5.5592 5.1534
-0.4126 -4.1109 7.2833
-1.6169 -5.6431 8.0928
-0.3054 -3.6250 2.1060
```

## Properties
Uncorrected energy ... -54.53 eV/cell